i) DFT (GGA-PBE) results for Cd2SiBi after structural relaxation.

Calculated volume   24.3 A^3/atom

Structure (CIF):
```
data_Cd2SiBi
_chemical_formula_sum 'Cd8 Si4 Bi4'
_space_group_name_H-M_alt 'F m -3 m'
_space_group_IT_number 225
_space_group_name_Hall '-F 4 2 3'
_cell_length_a 7.2978
_cell_length_b 7.2978
_cell_length_c 7.2978
_cell_angle_alpha 90.00
_cell_angle_beta 90.00
_cell_angle_gamma 90.00
loop_
_atom_site_label
_atom_site_type_symbol
_atom_site_fract_x
_atom_site_fract_y
_atom_site_fract_z
Cd1 Cd 0.2500 0.2500 0.2500
Si1 Si 0.0000 0.0000 0.0000
Bi1 Bi 0.0000 0.0000 0.5000
```

***

ii) DFT (GGA-PBE) results for Cd2SiBi after structural relaxation.

Calculated volume   25.2 A^3/atom

Structure (CIF):
```
data_Cd2SiBi
_chemical_formula_sum 'Cd8 Si4 Bi4'
_space_group_name_H-M_alt 'I -4 2 d'
_space_group_IT_number 122
_space_group_name_Hall 'I -4 2bw'
_cell_length_a 4.3042
_cell_length_b 4.3042
_cell_length_c 21.7606
_cell_angle_alpha 90.00
_cell_angle_beta 90.00
_cell_angle_gamma 90.00
loop_
_atom_site_label
_atom_site_type_symbol
_atom_site_fract_x
_atom_site_fract_y
_atom_site_fract_z
Cd1 Cd 0.2312 0.2500 0.1250
Si1 Si 0.0000 0.0000 0.0000
Bi1 Bi 0.0000 0.0000 0.5000
```

***

Most stable one: ii), least stable one: i).

***

i) DFT (GGA-PBE) results for Sm2CdBi after structural relaxation.

Calculated volume   32.6 A^3/atom

Structure (CIF):
```
data_Sm2CdBi
_chemical_formula_sum 'Sm6 Cd3 Bi3'
_space_group_name_H-M_alt 'R -3 m'
_space_group_IT_number 166
_space_group_name_Hall '-R 3 2"'
_cell_length_a 4.4300
_cell_length_b 4.4300
_cell_length_c 23.0490
_cell_angle_alpha 90.00
_cell_angle_beta 90.00
_cell_angle_gamma 120.00
loop_
_atom_site_label
_atom_site_type_symbol
_atom_site_fract_x
_atom_site_fract_y
_atom_site_fract_z
Sm1 Sm 0.0000 0.0000 0.2469
Cd1 Cd 0.0000 0.0000 0.0000
Bi1 Bi 0.0000 0.0000 0.5000
```

***

ii) DFT (GGA-PBE) results for Sm2CdBi after structural relaxation.

Calculated volume   29.0 A^3/atom

Structure (CIF):
```
data_Sm2CdBi
_chemical_formula_sum 'Sm8 Cd4 Bi4'
_space_group_name_H-M_alt 'F m -3 m'
_space_group_IT_number 225
_space_group_name_Hall '-F 4 2 3'
_cell_length_a 7.7384
_cell_length_b 7.7384
_cell_length_c 7.7384
_cell_angle_alpha 90.00
_cell_angle_beta 90.00
_cell_angle_gamma 90.00
loop_
_atom_site_label
_atom_site_type_symbol
_atom_site_fract_x
_atom_site_fract_y
_atom_site_fract_z
Sm1 Sm 0.2500 0.2500 0.2500
Cd1 Cd 0.0000 0.0000 0.0000
Bi1 Bi 0.0000 0.0000 0.5000
```

***

iii) DFT (GGA-PBE) results for Sm2CdBi after structural relaxation.

Calculated volume   29.0 A^3/atom

Structure (CIF):
```
data_Sm2CdBi
_chemical_formula_sum 'Sm2 Cd1 Bi1'
_space_group_name_H-M_alt 'P 4/m m m'
_space_group_IT_number 123
_space_group_name_Hall '-P 4 2'
_cell_length_a 4.0781
_cell_length_b 4.0781
_cell_length_c 6.9829
_cell_angle_alpha 90.00
_cell_angle_beta 90.00
_cell_angle_gamma 90.00
loop_
_atom_site_label
_atom_site_type_symbol
_atom_site_fract_x
_atom_site_fract_y
_atom_site_fract_z
Sm1 Sm 0.0000 0.0000 0.2492
Cd1 Cd 0.5000 0.5000 0.5000
Bi1 Bi 0.5000 0.5000 0.0000
```

***

Most stable one: iii), least stable one: i).

***

i) DFT (GGA-PBE) results for SmCdBi after structural relaxation.

Calculated volume   29.5 A^3/atom

Structure (CIF):
```
data_SmCdBi
_chemical_formula_sum 'Sm1 Cd1 Bi1'
_space_group_name_H-M_alt 'P 3 m 1'
_space_group_IT_number 156
_space_group_name_Hall 'P 3 -2"'
_cell_length_a 4.8272
_cell_length_b 4.8272
_cell_length_c 4.3844
_cell_angle_alpha 90.00
_cell_angle_beta 90.00
_cell_angle_gamma 120.00
loop_
_atom_site_label
_atom_site_type_symbol
_atom_site_fract_x
_atom_site_fract_y
_atom_site_fract_z
Sm1 Sm 0.0000 0.0000 0.0000
Cd1 Cd 0.3333 0.6667 0.3187
Bi1 Bi 0.6667 0.3333 0.5864
```

***

ii) DFT (GGA-PBE) results for SmCdBi after structural relaxation.

Calculated volume   31.2 A^3/atom

Structure (CIF):
```
data_SmCdBi
_chemical_formula_sum 'Sm6 Cd6 Bi6'
_space_group_name_H-M_alt 'R -3 m'
_space_group_IT_number 166
_space_group_name_Hall '-R 3 2"'
_cell_length_a 5.0253
_cell_length_b 5.0253
_cell_length_c 25.6978
_cell_angle_alpha 90.00
_cell_angle_beta 90.00
_cell_angle_gamma 120.00
loop_
_atom_site_label
_atom_site_type_symbol
_atom_site_fract_x
_atom_site_fract_y
_atom_site_fract_z
Sm1 Sm 0.0000 0.0000 0.0734
Cd1 Cd 0.0000 0.0000 0.3359
Bi1 Bi 0.0000 0.0000 0.2073
```

***

Most stable one: i), least stable one: ii).

***

i) DFT (GGA-PBE) results for CdSn2Bi after structural relaxation.

Calculated volume   28.3 A^3/atom

Structure (CIF):
```
data_CdSn2Bi
_chemical_formula_sum 'Cd4 Sn8 Bi4'
_space_group_name_H-M_alt 'F m -3 m'
_space_group_IT_number 225
_space_group_name_Hall '-F 4 2 3'
_cell_length_a 7.6777
_cell_length_b 7.6777
_cell_length_c 7.6777
_cell_angle_alpha 90.00
_cell_angle_beta 90.00
_cell_angle_gamma 90.00
loop_
_atom_site_label
_atom_site_type_symbol
_atom_site_fract_x
_atom_site_fract_y
_atom_site_fract_z
Cd1 Cd 0.0000 0.0000 0.0000
Sn1 Sn 0.2500 0.2500 0.2500
Bi1 Bi 0.0000 0.0000 0.5000
```

***

ii) DFT (GGA-PBE) results for CdSn2Bi after structural relaxation.

Calculated volume   27.9 A^3/atom

Structure (CIF):
```
data_CdSn2Bi
_chemical_formula_sum 'Cd1 Sn2 Bi1'
_space_group_name_H-M_alt 'P 4/m m m'
_space_group_IT_number 123
_space_group_name_Hall '-P 4 2'
_cell_length_a 3.8466
_cell_length_b 3.8466
_cell_length_c 7.5533
_cell_angle_alpha 90.00
_cell_angle_beta 90.00
_cell_angle_gamma 90.00
loop_
_atom_site_label
_atom_site_type_symbol
_atom_site_fract_x
_atom_site_fract_y
_atom_site_fract_z
Cd1 Cd 0.0000 0.0000 0.0000
Sn1 Sn 0.5000 0.5000 0.2393
Bi1 Bi 0.0000 0.0000 0.5000
```

***

Most stable one: ii), least stable one: i).

***

i) DFT (GGA-PBE) results for CdSn2Bi after structural relaxation.

Calculated volume   28.1 A^3/atom

Structure (CIF):
```
data_CdSn2Bi
_chemical_formula_sum 'Cd1 Sn2 Bi1'
_space_group_name_H-M_alt 'P 4/m m m'
_space_group_IT_number 123
_space_group_name_Hall '-P 4 2'
_cell_length_a 4.6096
_cell_length_b 4.6096
_cell_length_c 5.2821
_cell_angle_alpha 90.00
_cell_angle_beta 90.00
_cell_angle_gamma 90.00
loop_
_atom_site_label
_atom_site_type_symbol
_atom_site_fract_x
_atom_site_fract_y
_atom_site_fract_z
Cd1 Cd 0.0000 0.0000 0.0000
Sn1 Sn 0.0000 0.5000 0.5000
Bi1 Bi 0.5000 0.5000 0.0000
```

***

ii) DFT (GGA-PBE) results for CdSn2Bi after structural relaxation.

Calculated volume   38.3 A^3/atom

Structure (CIF):
```
data_CdSn2Bi
_chemical_formula_sum 'Cd4 Sn8 Bi4'
_space_group_name_H-M_alt 'I -4 2 d'
_space_group_IT_number 122
_space_group_name_Hall 'I -4 2bw'
_cell_length_a 6.8817
_cell_length_b 6.8817
_cell_length_c 12.9321
_cell_angle_alpha 90.00
_cell_angle_beta 90.00
_cell_angle_gamma 90.00
loop_
_atom_site_label
_atom_site_type_symbol
_atom_site_fract_x
_atom_site_fract_y
_atom_site_fract_z
Cd1 Cd 0.0000 0.0000 0.0000
Sn1 Sn 0.2334 0.2500 0.1250
Bi1 Bi 0.0000 0.0000 0.5000
```

***

iii) DFT (GGA-PBE) results for CdSn2Bi after structural relaxation.

Calculated volume   31.1 A^3/atom

Structure (CIF):
```
data_CdSn2Bi
_chemical_formula_sum 'Cd3 Sn6 Bi3'
_space_group_name_H-M_alt 'R 3 m'
_space_group_IT_number 160
_space_group_name_Hall 'R 3 -2"'
_cell_length_a 4.6235
_cell_length_b 4.6235
_cell_length_c 20.1721
_cell_angle_alpha 90.00
_cell_angle_beta 90.00
_cell_angle_gamma 120.00
loop_
_atom_site_label
_atom_site_type_symbol
_atom_site_fract_x
_atom_site_fract_y
_atom_site_fract_z
Cd1 Cd 0.0000 0.0000 0.0000
Sn1 Sn 0.0000 0.0000 0.2493
Sn2 Sn 0.0000 0.0000 0.4055
Bi1 Bi 0.0000 0.0000 0.8295
```

***

Most stable one: i), least stable one: ii).

***

i) DFT (GGA-PBE) results for CdSn3Bi after structural relaxation.

Calculated volume   33.4 A^3/atom

Structure (CIF):
```
data_CdSn3Bi
_chemical_formula_sum 'Cd1 Sn3 Bi1'
_space_group_name_H-M_alt 'P m -3 m'
_space_group_IT_number 221
_space_group_name_Hall '-P 4 2 3'
_cell_length_a 5.5062
_cell_length_b 5.5062
_cell_length_c 5.5062
_cell_angle_alpha 90.00
_cell_angle_beta 90.00
_cell_angle_gamma 90.00
loop_
_atom_site_label
_atom_site_type_symbol
_atom_site_fract_x
_atom_site_fract_y
_atom_site_fract_z
Cd1 Cd 0.0000 0.0000 0.0000
Sn1 Sn 0.0000 0.0000 0.5000
Bi1 Bi 0.5000 0.5000 0.5000
```

***

ii) DFT (GGA-PBE) results for CdSn3Bi after structural relaxation.

Calculated volume   41.9 A^3/atom

Structure (CIF):
```
data_CdSn3Bi
_chemical_formula_sum 'Cd1 Sn3 Bi1'
_space_group_name_H-M_alt 'P m -3 m'
_space_group_IT_number 221
_space_group_name_Hall '-P 4 2 3'
_cell_length_a 5.9382
_cell_length_b 5.9382
_cell_length_c 5.9382
_cell_angle_alpha 90.00
_cell_angle_beta 90.00
_cell_angle_gamma 90.00
loop_
_atom_site_label
_atom_site_type_symbol
_atom_site_fract_x
_atom_site_fract_y
_atom_site_fract_z
Cd1 Cd 0.0000 0.0000 0.0000
Sn1 Sn 0.0000 0.5000 0.5000
Bi1 Bi 0.5000 0.5000 0.5000
```

***

Most stable one: i), least stable one: ii).